(1)
Material: Pr3SmDyEr
Method: DFT, PBE-GGA
State: optimized geometry

```
data_Pr3SmDyEr
_space_group_name_H-M_alt 'C m c m'
_space_group_IT_number 63
_space_group_name_Hall '-C 2c 2'
_cell_length_a 5.1351
_cell_length_b 15.4746
_cell_length_c 10.2728
_cell_angle_alpha 90.00
_cell_angle_beta 90.00
_cell_angle_gamma 90.00
loop_
_atom_site_label
_atom_site_type_symbol
_atom_site_fract_x
_atom_site_fract_y
_atom_site_fract_z
Pr1 Pr 0.0000 0.1656 0.0008
Pr2 Pr 0.0000 0.3335 0.2500
Sm1 Sm 0.0000 0.5000 0.0000
Dy1 Dy 0.0000 0.0018 0.2500
Er1 Er 0.0000 0.3352 0.7500
```

Summary:
calculated formation energy = 0.019 eV per atom

(2)
Material: BaTcMoPb2
Method: DFT, PBE-GGA
State: optimized geometry

```
data_BaTcMoPb2
_space_group_name_H-M_alt 'P 4/m m m'
_space_group_IT_number 123
_space_group_name_Hall '-P 4 2'
_cell_length_a 5.3835
_cell_length_b 5.3835
_cell_length_c 4.9794
_cell_angle_alpha 90.00
_cell_angle_beta 90.00
_cell_angle_gamma 90.00
loop_
_atom_site_label
_atom_site_type_symbol
_atom_site_fract_x
_atom_site_fract_y
_atom_site_fract_z
Ba1 Ba 0.0000 0.0000 0.0000
Tc1 Tc 0.5000 0.5000 0.0000
Mo1 Mo 0.5000 0.5000 0.5000
Pb1 Pb 0.0000 0.5000 0.5000
```

Summary:
calculated formation energy = 0.604 eV per atom

(3)
Material: LiS2ClF
Method: DFT, PBE-GGA
State: optimized geometry

```
data_LiS2ClF
_space_group_name_H-M_alt 'P 4/m m m'
_space_group_IT_number 123
_space_group_name_Hall '-P 4 2'
_cell_length_a 4.0801
_cell_length_b 4.0801
_cell_length_c 6.8335
_cell_angle_alpha 90.00
_cell_angle_beta 90.00
_cell_angle_gamma 90.00
loop_
_atom_site_label
_atom_site_type_symbol
_atom_site_fract_x
_atom_site_fract_y
_atom_site_fract_z
Li1 Li 0.0000 0.0000 0.0000
S1 S 0.0000 0.5000 0.5000
Cl1 Cl 0.5000 0.5000 0.0000
F1 F 0.5000 0.5000 0.5000
```

Summary:
polymorph energy (0 for the lowest one) = 0 meV per atom

(4)
Material: Pm4Y2Bi3N2
Method: DFT, PBE-GGA
State: optimized geometry

```
data_Pm4Y2Bi3N2
_space_group_name_H-M_alt 'I 4/m m m'
_space_group_IT_number 139
_space_group_name_Hall '-I 4 2'
_cell_length_a 4.8050
_cell_length_b 4.8050
_cell_length_c 26.0978
_cell_angle_alpha 90.00
_cell_angle_beta 90.00
_cell_angle_gamma 90.00
loop_
_atom_site_label
_atom_site_type_symbol
_atom_site_fract_x
_atom_site_fract_y
_atom_site_fract_z
Pm1 Pm 0.0000 0.5000 0.0852
Y1 Y 0.0000 0.0000 0.1912
Bi1 Bi 0.0000 0.0000 0.3172
Bi2 Bi 0.0000 0.0000 0.5000
N1 N 0.0000 0.0000 0.1068
```

Summary:
E = -6.4902 eV per atom

What did the fourth record say?
Material: Pm4Y2Bi3N2
Method: DFT, PBE-GGA
State: optimized geometry

```
data_Pm4Y2Bi3N2
_space_group_name_H-M_alt 'I 4/m m m'
_space_group_IT_number 139
_space_group_name_Hall '-I 4 2'
_cell_length_a 4.8050
_cell_length_b 4.8050
_cell_length_c 26.0978
_cell_angle_alpha 90.00
_cell_angle_beta 90.00
_cell_angle_gamma 90.00
loop_
_atom_site_label
_atom_site_type_symbol
_atom_site_fract_x
_atom_site_fract_y
_atom_site_fract_z
Pm1 Pm 0.0000 0.5000 0.0852
Y1 Y 0.0000 0.0000 0.1912
Bi1 Bi 0.0000 0.0000 0.3172
Bi2 Bi 0.0000 0.0000 0.5000
N1 N 0.0000 0.0000 0.1068
```

Summary:
E = -6.4902 eV per atom